AlSi2Ir2, relaxed, DFT PBE; formation energy from raw total energies = -0.360 eV per atom
1.0
4.113 0.000 0.018
0.000 4.113 0.018
-2.045 -2.046 4.675
Si Ir Al
2 2 1
direct
0.622 0.622 0.241
0.378 0.378 0.759
0.250 0.750 0.500
0.750 0.250 0.500
0.000 0.000 0.000